This record from Alexandria via LeMat-Bulk describes a geometry-optimized ReMoPb2 structure. The functional is GGA-PBE.

## Properties
The total magnetization comes out at 0.0 μB per formula unit. As for the symmetry: C2/m. The calculation puts the energy above the lowest structure with this stoichiometry at 731 meV/atom.

Cell: 4.8498 4.8498 5.5348 Å, 78.95 78.95 38.53°
Closest atoms and distances in Å follow each position.
Element x y z (fractional)
Mo: 0.2500 0.2500 0.2500  6 Pb 2.90-2.92, 4 Re 3.20, 2 Mo 3.20
Pb: 0.0016 0.0016 0.9969  3 Re 2.89-2.91, 3 Mo 2.90-2.92, 6 Pb 3.17-3.22
Pb: 0.4984 0.4984 0.5031  3 Re 2.89-2.91, 3 Mo 2.90-2.92, 6 Pb 3.17-3.22
Re: 0.7500 0.7500 0.7500  6 Pb 2.89-2.91, 4 Mo 3.20, 2 Re 3.20

=====

This record from Alexandria via LeMat-Bulk describes a geometry-optimized ReMoPb structure. The functional is GGA-PBE.

## Properties
The total magnetization comes out at 0.0 μB per formula unit. As for the symmetry: F-43m. The calculation puts the energy above the lowest structure with this stoichiometry at 269 meV/atom.

Cell: 4.4528 4.4528 4.4528 Å, 60.00 60.00 60.00°
Closest atoms and distances in Å follow each position.
Element x y z (fractional)
Mo: 0.0000 0.0000 0.0000  4 Re 2.73
Pb: 0.5000 0.5000 0.5000  4 Re 2.73
Re: 0.7500 0.7500 0.7500  4 Mo 2.73, 4 Pb 2.73

=====

no.,V (Å³/atom),raw total energy (eV per atom),DOS(E_F) (states/eV/f.u.)
1,19.9,-6.60,4.4
2,20.8,-8.15,1.6